No. 1
A plane-wave DFT calculation with PBE-GGA was carried out for crystalline NbFe2Si2 at its relaxed geometry.

Cell: 6.8437 6.8437 2.6635 Å, 90.00 90.00 90.00°
Fractional positions:
Fe  0.6501  0.8499  0.5000
Si  0.8596  0.6404  0.0000
Si  0.1404  0.3596  0.0000
Fe  0.1501  0.6501  0.5000
Nb  0.5000  0.5000  0.0000
Si  0.6404  0.1404  0.0000
Si  0.3596  0.8596  0.0000
Fe  0.3499  0.1501  0.5000
Nb  0.0000  0.0000  0.0000
Fe  0.8499  0.3499  0.5000

Values from the calculation:
For the theoretical density, the calculation gives 6.942 Mg/m³. For the energy relative to the elements, uncorrected, the calculation gives -8.7 kcal/mol of atoms.

***

No. 2
A plane-wave DFT calculation with PBE-GGA was carried out for crystalline NbFe2Si2 at its relaxed geometry.

Cell: 3.8113 4.0536 8.4872 Å, 93.60 90.00 90.00°
Fractional positions:
Fe  0.7500  0.7493  0.4967
Fe  0.2500  0.2507  0.5033
Fe  0.2500  0.8310  0.9029
Nb  0.7500  0.2756  0.7376
Nb  0.2500  0.7244  0.2624
Si  0.2500  0.7667  0.6418
Fe  0.7500  0.1690  0.0971
Si  0.7500  0.6689  0.0070
Si  0.2500  0.3311  0.9930
Si  0.7500  0.2333  0.3582

Values from the calculation:
For the theoretical density, the calculation gives 6.618 Mg/m³. For the energy relative to the elements, uncorrected, the calculation gives -9.1 kcal/mol of atoms.

***

No. 3
A plane-wave DFT calculation with PBE-GGA was carried out for crystalline Nb4Fe2Si5 at its relaxed geometry.

Cell: 4.9584 7.9285 9.2904 Å, 115.26 105.48 90.00°
Each line ends with the local moment (μB).
Fractional positions:
Nb  0.8579  0.7464  0.7159  0.11
Nb  0.1421  0.2536  0.2841  0.11
Fe  0.0547  0.3047  0.6095  1.66
Si  0.7803  0.9848  0.5605  -0.02
Si  0.9268  0.5074  0.8535  -0.01
Si  0.0732  0.4926  0.1465  -0.01
Si  0.7197  0.4243  0.4395  -0.02
Nb  0.0631  0.8065  0.1262  0.03
Fe  0.5547  0.3047  0.6095  1.66
Nb  0.6421  0.0306  0.2841  0.11
Si  0.5732  0.6539  0.1465  -0.01
Nb  0.4369  0.6802  0.8738  0.03
Nb  0.9369  0.1935  0.8738  0.03
Si  0.2500  0.0000  0.0000  0.00
Si  0.2803  0.5757  0.5605  -0.02
Fe  0.4453  0.6953  0.3905  1.66
Si  0.2197  0.0152  0.4395  -0.02
Si  0.7500  0.0000  0.0000  0.00
Nb  0.5631  0.3198  0.1262  0.03
Fe  0.9453  0.6953  0.3905  1.66
Nb  0.3579  0.9694  0.7159  0.11
Si  0.4268  0.3461  0.8535  -0.01

Values from the calculation:
For the theoretical density, the calculation gives 6.564 Mg/m³. For the energy relative to the elements, uncorrected, the calculation gives -12.2 kcal/mol of atoms.

***

No. 4
A plane-wave DFT calculation with PBE-GGA was carried out for crystalline NbFeSi2 at its relaxed geometry.

Cell: 3.7436 3.7436 9.0911 Å, 78.12 78.12 90.00°
Each line ends with the local moment (μB).
Fractional positions:
Si  0.3750  0.4086  0.7500  0.01
Nb  0.0000  0.0000  0.0000  -0.20
Nb  0.7500  0.2500  0.5000  -0.19
Si  0.8750  0.8414  0.7500  0.01
Si  0.5914  0.1250  0.2500  0.01
Si  0.1586  0.6250  0.2500  0.01
Fe  0.2500  0.7500  0.5000  1.78
Fe  0.5000  0.5000  0.0000  1.78

Values from the calculation:
For the theoretical density, the calculation gives 5.584 Mg/m³. For the energy relative to the elements, uncorrected, the calculation gives 2.9 kcal/mol of atoms.

***

No. 5
A plane-wave DFT calculation with PBE-GGA was carried out for crystalline Nb4Fe4Si7 at its relaxed geometry.

Cell: 9.2415 9.2415 9.2415 Å, 94.24 94.24 148.46°
Each line ends with the local moment (μB).
Fractional positions:
Fe  0.3995  0.8995  0.7990  0.17
Fe  0.1005  0.6005  0.2010  0.17
Si  0.7016  0.0000  0.7016  -0.01
Si  0.7504  0.7504  0.0000  0.00
Fe  0.3995  0.6005  0.5000  0.17
Si  0.0000  0.7016  0.7016  -0.01
Nb  0.8648  0.8648  0.7296  0.00
Nb  0.5000  0.6922  0.1922  0.00
Si  0.5000  0.0946  0.5946  0.00
Nb  0.1352  0.8648  0.0000  0.00
Si  0.2907  0.2907  0.5813  0.00
Nb  0.1352  0.1352  0.2704  0.00
Nb  0.5000  0.3078  0.8078  0.00
Si  0.2496  0.2496  0.0000  0.00
Si  0.0000  0.2984  0.2984  -0.01
Fe  0.8995  0.3995  0.7990  0.17
Fe  0.6005  0.1005  0.2010  0.17
Si  0.7093  0.2907  0.0000  0.00
Nb  0.8648  0.1352  0.0000  0.00
Si  0.2984  0.0000  0.2984  -0.01
Fe  0.6005  0.3995  0.5000  0.17
Si  0.0946  0.5000  0.5946  0.00
Fe  0.8995  0.1005  0.5000  0.17
Si  0.5000  0.9054  0.4054  0.00
Si  0.7093  0.7093  0.4187  0.00
Nb  0.6922  0.5000  0.1922  0.00
Fe  0.1005  0.8995  0.5000  0.17
Nb  0.3078  0.5000  0.8078  0.00
Si  0.2907  0.7093  0.0000  0.00
Si  0.9054  0.5000  0.4054  0.00

Values from the calculation:
For the theoretical density, the calculation gives 6.617 Mg/m³. For the energy relative to the elements, uncorrected, the calculation gives -14.3 kcal/mol of atoms.

***

No. 6
A plane-wave DFT calculation with PBE-GGA was carried out for crystalline Nb2FeSi2 at its relaxed geometry.

Cell: 5.9654 5.9654 4.0856 Å, 90.00 90.00 90.00°
Fractional positions:
Si  0.8570  0.6430  0.0000
Fe  0.0000  0.0000  0.0000
Nb  0.8375  0.3375  0.5000
Nb  0.6625  0.8375  0.5000
Si  0.6430  0.1430  0.0000
Si  0.3570  0.8570  0.0000
Si  0.1430  0.3570  0.0000
Fe  0.5000  0.5000  0.0000
Nb  0.1625  0.6625  0.5000
Nb  0.3375  0.1625  0.5000

Values from the calculation:
For the theoretical density, the calculation gives 6.803 Mg/m³. For the energy relative to the elements, uncorrected, the calculation gives -12.3 kcal/mol of atoms.

***

No. 7
A plane-wave DFT calculation with PBE-GGA was carried out for crystalline NbFeSi2 at its relaxed geometry.

Cell: 7.5724 8.6840 9.6945 Å, 90.00 90.00 90.00°
Fractional positions:
Fe  0.7542  0.0000  0.0000
Si  0.0000  0.6215  0.3964
Fe  0.2496  0.5906  0.2459
Nb  0.2440  0.8289  0.4515
Si  0.6546  0.8389  0.1806
Si  0.3454  0.1611  0.8194
Si  0.0000  0.5398  0.1183
Nb  0.2440  0.3289  0.0485
Si  0.0000  0.8785  0.8964
Fe  0.7504  0.5906  0.2459
Fe  0.7504  0.0906  0.2541
Fe  0.7542  0.5000  0.5000
Fe  0.2496  0.4094  0.7541
Nb  0.7560  0.6711  0.9515
Si  0.5000  0.9564  0.6217
Nb  0.2440  0.6711  0.9515
Si  0.5000  0.5436  0.1217
Si  0.5000  0.1157  0.1009
Fe  0.2496  0.0906  0.2541
Si  0.6546  0.1611  0.8194
Nb  0.0000  0.3318  0.3184
Nb  0.7560  0.1711  0.5485
Si  0.0000  0.0398  0.3817
Nb  0.2440  0.1711  0.5485
Nb  0.0000  0.1682  0.8184
Si  0.3454  0.3389  0.3194
Fe  0.2458  0.5000  0.5000
Si  0.0000  0.3785  0.6036
Nb  0.0000  0.8318  0.1816
Nb  0.7560  0.8289  0.4515
Si  0.0000  0.1215  0.1036
Si  0.0000  0.4602  0.8817
Nb  0.0000  0.6682  0.6816
Si  0.5000  0.4564  0.8783
Fe  0.7504  0.9094  0.7459
Si  0.5000  0.3843  0.6009
Si  0.3454  0.6611  0.6806
Fe  0.2496  0.9094  0.7459
Si  0.5000  0.0436  0.3783
Nb  0.7560  0.3289  0.0485
Fe  0.2458  0.0000  0.0000
Si  0.5000  0.8843  0.8991
Si  0.5000  0.6157  0.3991
Si  0.6546  0.6611  0.6806
Fe  0.7504  0.4094  0.7541
Si  0.3454  0.8389  0.1806
Si  0.6546  0.3389  0.3194
Si  0.0000  0.9602  0.6183

Values from the calculation:
For the theoretical density, the calculation gives 6.405 Mg/m³. For the energy relative to the elements, uncorrected, the calculation gives -13.9 kcal/mol of atoms.

***

No. 8
A plane-wave DFT calculation with PBE-GGA was carried out for crystalline Nb4Fe3Si5 at its relaxed geometry.

Cell: 4.9092 4.9092 7.6536 Å, 90.00 90.00 119.36°
Each line ends with the local moment (μB).
Fractional positions:
Nb  0.3340  0.6660  0.3184  0.03
Fe  0.9978  0.0022  0.2547  0.66
Nb  0.6683  0.3317  0.1856  0.05
Nb  0.6683  0.3317  0.8144  0.05
Si  0.1675  0.3351  0.0000  -0.02
Fe  0.1707  0.8293  0.0000  1.75
Si  0.8301  0.1699  0.5000  -0.01
Si  0.8315  0.6650  0.5000  -0.01
Fe  0.9978  0.0022  0.7453  0.66
Nb  0.3340  0.6660  0.6816  0.03
Si  0.3350  0.1685  0.5000  -0.01
Si  0.6649  0.8325  0.0000  -0.02

Values from the calculation:
For the theoretical density, the calculation gives 7.020 Mg/m³. For the energy relative to the elements, uncorrected, the calculation gives -13.1 kcal/mol of atoms.